Version A
Computed, not measured: a geometry-optimized K2SiGe structure at the PBE level of DFT.

Cell lengths 12.941, 12.941, 4.718 Å; angles 90.00, 90.00, 90.00 degrees
Element x y z (fractional)
K: 0.029 0.750 0.125
K: 0.250 0.029 0.875
K: 0.250 0.471 0.375
K: 0.471 0.750 0.625
K: 0.529 0.250 0.625
K: 0.750 0.529 0.375
K: 0.750 0.971 0.875
K: 0.971 0.250 0.125
Si: 0.000 0.000 0.000
Si: 0.000 0.500 0.250
Si: 0.500 0.000 0.750
Si: 0.500 0.500 0.500
Ge: 0.000 0.000 0.500
Ge: 0.000 0.500 0.750
Ge: 0.500 0.000 0.250
Ge: 0.500 0.500 0.000

Summary:
**N(E_F)**: 2.82 states/eV/f.u.
**M_tot**: 0.00 μB per formula unit
**Space group**: I-42d, No. 122
**Crystal system**: tetragonal

***

Version B
Computed, not measured: a geometry-optimized K2SiGe structure at the PBE level of DFT.

Cell lengths 7.926, 7.926, 7.926 Å; angles 90.00, 90.00, 90.00 degrees
Element x y z (fractional)
K: 0.250 0.250 0.250
K: 0.250 0.250 0.750
K: 0.250 0.750 0.250
K: 0.250 0.750 0.750
K: 0.750 0.250 0.250
K: 0.750 0.250 0.750
K: 0.750 0.750 0.250
K: 0.750 0.750 0.750
Si: 0.000 0.000 0.000
Si: 0.000 0.500 0.500
Si: 0.500 0.000 0.500
Si: 0.500 0.500 0.000
Ge: 0.000 0.000 0.500
Ge: 0.000 0.500 0.000
Ge: 0.500 0.000 0.000
Ge: 0.500 0.500 0.500

Summary:
**N(E_F)**: 0.00 states/eV/f.u.
**M_tot**: 0.00 μB per formula unit
**Space group**: Fm-3m, No. 225
**Crystal system**: cubic

***

Decreasing stability: version A, version B

***

Version A
Computed, not measured: a geometry-optimized K2SiGe2 structure at the PBE level of DFT.

Cell lengths 4.643, 4.643, 13.722 Å; angles 90.00, 90.00, 90.00 degrees
Element x y z (fractional)
K: 0.000 0.500 0.250
K: 0.000 0.500 0.750
K: 0.500 0.000 0.250
K: 0.500 0.000 0.750
Si: 0.000 0.000 0.000
Si: 0.500 0.500 0.500
Ge: 0.000 0.000 0.418
Ge: 0.000 0.000 0.582
Ge: 0.500 0.500 0.082
Ge: 0.500 0.500 0.918

Summary:
**N(E_F)**: 0.10 states/eV/f.u.
**M_tot**: 0.00 μB per formula unit
**Space group**: I4/mmm, No. 139
**Crystal system**: tetragonal

***

Version B
Computed, not measured: a geometry-optimized K2SiGe2 structure at the PBE level of DFT.

Cell lengths 6.775, 6.775, 5.655 Å; angles 90.00, 90.00, 90.00 degrees
Element x y z (fractional)
K: 0.181 0.319 0.000
K: 0.319 0.819 0.000
K: 0.681 0.181 0.000
K: 0.819 0.681 0.000
Si: 0.000 0.000 0.500
Si: 0.500 0.500 0.500
Ge: 0.134 0.634 0.500
Ge: 0.366 0.134 0.500
Ge: 0.634 0.866 0.500
Ge: 0.866 0.366 0.500

Summary:
**N(E_F)**: 0.76 states/eV/f.u.
**M_tot**: 0.00 μB per formula unit
**Space group**: P4/mbm, No. 127
**Crystal system**: tetragonal

***

Decreasing stability: version B, version A